Computed, not measured: a relaxed structure of GeW2BrO at the PBE+U level of DFT.

Output
The final energy comes out at -0.256 Ry per atom. Its volume is 28.373 A^3/atom. The value obtained for the magnetization is 7.0 μB per formula unit. As for the crystal system: tetragonal.

a = 5.2233 Å, b = 5.2233 Å, c = 5.1996 Å
α = 90.00°, β = 90.00°, γ = 90.00°
Fractional coordinates of all 5 atoms:
Ge 0.0000 0.0000 0.0000
W 0.0000 0.5000 0.0000
W 0.5000 0.0000 0.0000
Br 0.0000 0.0000 0.5000
O 0.5000 0.5000 0.5000